# 1
The following is a DFT calculation (PBE) of crystalline K5Hg3 at its relaxed geometry.

**E_tot**: -0.072 Ry/atom
**Crystal system**: tetragonal

Lattice parameters (Å, degrees): 10.574 10.574 14.072 131.72 131.72 39.53
Fractional coordinates of all 16 atoms:
K1 0.750 0.250 0.500
K2 0.250 0.750 0.500
K3 0.209 0.209 0.290
K4 0.081 0.081 0.872
K5 0.415 0.415 0.697
K6 0.282 0.282 0.867
K7 0.919 0.919 0.128
K8 0.718 0.718 0.133
K9 0.585 0.585 0.303
K10 0.791 0.791 0.710
Hg1 0.273 0.727 0.000
Hg2 0.660 0.660 0.820
Hg3 0.340 0.340 0.180
Hg4 0.727 0.273 0.000
Hg5 0.841 0.841 0.501
Hg6 0.159 0.159 0.499

***

# 2
The following is a DFT calculation (PBE) of crystalline FeCoBiIr at its relaxed geometry.

**Crystal system**: cubic
**Polymorph energy (0 for the lowest one)**: 0.000 eV/atom

Lattice parameters (Å, degrees): 4.488 4.488 4.488 60.00 60.00 60.00
Fractional coordinates of all 4 atoms:
Co1 0.750 0.750 0.750
Bi1 0.000 0.000 0.000
Ir1 0.250 0.250 0.250
Fe1 0.500 0.500 0.500

***

# 3
The following is a DFT calculation (PBE) of crystalline Ga2TcIr at its relaxed geometry.

**E_tot**: -0.456 Ry/atom
**Crystal system**: cubic

Lattice parameters (Å, degrees): 4.393 4.393 4.393 60.00 60.00 60.00
Fractional coordinates of all 4 atoms:
Tc1 0.750 0.750 0.750
Ir1 0.500 0.500 0.500
Ga1 0.250 0.250 0.250
Ga2 0.000 0.000 0.000

***

# 4
The following is a DFT calculation (PBE) of crystalline Np at its relaxed geometry.

**ΔH_f (0 K)**: 0.18 eV/atom
**Crystal system**: cubic
**Polymorph energy (0 for the lowest one)**: 0.176 eV/atom

Lattice parameters (Å, degrees): 3.936 3.936 3.936 120.00 90.00 120.00
Fractional coordinates of all 2 atoms:
Np1 0.250 0.500 0.750
Np2 0.000 0.000 0.000

***

# 5
The following is a DFT calculation (PBE) of crystalline BaLiFeTc at its relaxed geometry.

**Crystal system**: cubic
**Polymorph energy (0 for the lowest one)**: 0.316 eV/atom

Lattice parameters (Å, degrees): 4.781 4.781 4.781 60.00 60.00 60.00
Fractional coordinates of all 4 atoms:
Fe1 0.000 0.000 0.000
Li1 0.750 0.750 0.750
Tc1 0.500 0.500 0.500
Ba1 0.250 0.250 0.250

***

# 6
The following is a DFT calculation (PBE) of crystalline MgZrBePd at its relaxed geometry.

**Crystal system**: cubic
**Polymorph energy (0 for the lowest one)**: 0.176 eV/atom

Lattice parameters (Å, degrees): 4.463 4.463 4.463 60.00 60.00 60.00
Fractional coordinates of all 4 atoms:
Zr1 0.000 0.000 0.000
Pd1 0.500 0.500 0.500
Be1 0.250 0.250 0.250
Mg1 0.750 0.750 0.750

***

Which formula does entry 1 have? K5Hg3